Entry 1
Compound: LiMgPt
Source: Alexandria
Functional: SCAN
Structure: PBEsol geometry

Cell lengths 2.8714, 3.8380, 8.1046 Å; angles 90.00, 90.00, 90.00 degrees
Last column: nearest neighbours and their distance in Å.
Space group Imm2 (No. 44)
Inequivalent atoms, fractional coordinates:
Li 0.0000 0.0000 0.0000 x2  5 Mg 2.58-2.82, 5 Pt 2.71-2.78, 2 Li 2.87
Mg 0.0000 0.0000 0.6822 x2  5 Li 2.58-2.82, 5 Pt 2.73-2.75, 2 Mg 2.87
Pt 0.0000 0.0000 0.3429 x2  5 Li 2.71-2.78, 5 Mg 2.73-2.75, 2 Pt 2.87

Entry 2
Compound: LiMgPt
Source: Alexandria
Functional: SCAN
Structure: PBEsol geometry

Cell lengths 3.2410, 3.2410, 8.5433 Å; angles 90.00, 90.00, 90.00 degrees
Last column: nearest neighbours and their distance in Å.
Space group I4mm (No. 107)
Inequivalent atoms, fractional coordinates:
Li 0.0000 0.0000 0.0000 x2  4 Pt 2.60, 5 Mg 2.65-2.81
Mg 0.0000 0.0000 0.3103 x2  5 Li 2.65-2.81, 5 Pt 2.70-2.85
Pt 0.0000 0.0000 0.6442 x2  4 Li 2.60, 5 Mg 2.70-2.85

Of them, the most stable is entry 1 and the least stable is entry 2.

Entry 1
Compound: LiMgRh
Source: Alexandria
Functional: SCAN
Structure: PBEsol geometry

Cell lengths 3.0181, 4.6525, 13.3617 Å; angles 90.00, 90.00, 90.00 degrees
Last column: nearest neighbours and their distance in Å.
Space group Fmm2 (No. 42)
Inequivalent atoms, fractional coordinates:
Li 0.0000 0.0000 0.0000 x4  2 Rh 2.50, 4 Li 2.77
Mg 0.0000 0.0000 0.3033 x4  2 Rh 2.56, 4 Mg 2.77
Rh 0.0000 0.0000 0.6488 x4  2 Li 2.50, 2 Mg 2.56, 4 Rh 2.77

Entry 2
Compound: LiMgRh
Source: Alexandria
Functional: SCAN
Structure: PBEsol geometry

Cell lengths 2.8391, 2.8391, 6.7009 Å; angles 90.00, 90.00, 120.00 degrees
Last column: nearest neighbours and their distance in Å.
Space group P3m1 (No. 156)
Inequivalent atoms, fractional coordinates:
Li 0.0000 0.0000 0.0000 x1  3 Rh 2.58, 6 Li 2.84
Mg 0.3333 0.6667 0.6066 x1  3 Rh 2.64, 6 Mg 2.84
Rh 0.6667 0.3333 0.2982 x1  3 Li 2.58, 3 Mg 2.64, 6 Rh 2.84

Entry 3
Compound: LiMgRh
Source: Alexandria
Functional: SCAN
Structure: PBEsol geometry

Cell lengths 3.2024, 3.2024, 8.3972 Å; angles 90.00, 90.00, 90.00 degrees
Last column: nearest neighbours and their distance in Å.
Space group I4mm (No. 107)
Inequivalent atoms, fractional coordinates:
Li 0.0000 0.0000 0.0000 x2  4 Rh 2.58, 5 Mg 2.61-2.76
Mg 0.0000 0.0000 0.3114 x2  5 Li 2.61-2.76, 5 Rh 2.65-2.82
Rh 0.0000 0.0000 0.6472 x2  4 Li 2.58, 5 Mg 2.65-2.82

Entry 4
Compound: LiMgRh
Source: Alexandria
Functional: SCAN
Structure: PBEsol geometry

Cell lengths 4.2457, 4.2457, 2.7758 Å; angles 90.00, 90.00, 120.00 degrees
Last column: nearest neighbours and their distance in Å.
Space group P3m1 (No. 156)
Inequivalent atoms, fractional coordinates:
Li 0.0000 0.0000 0.0000 x1  3 Rh 2.53, 3 Mg 2.64, 2 Li 2.78
Mg 0.6667 0.3333 0.6503 x1  3 Li 2.64, 6 Rh 2.72-2.93, 2 Mg 2.78
Rh 0.3333 0.6667 0.2271 x1  3 Li 2.53, 3 Mg 2.72, 2 Rh 2.78

Of them, the most stable is entry 3 and the least stable is entry 1.

Entry 1
Compound: Li2MgSe
Source: Alexandria
Functional: SCAN
Structure: PBEsol geometry

Cell lengths 3.5470, 3.5470, 5.6846 Å; angles 90.00, 90.00, 90.00 degrees
Last column: nearest neighbours and their distance in Å.
Space group P4/mmm (No. 123)
Inequivalent atoms, fractional coordinates:
Li 0.0000 0.0000 0.2051 x2  1 Li 2.33
Mg 0.5000 0.5000 0.5000 x1  2 Se 2.84, 8 Li 3.02
Se 0.5000 0.5000 0.0000 x1  8 Li 2.77, 2 Mg 2.84

Entry 2
Compound: Li2MgSe
Source: Alexandria
Functional: SCAN
Structure: PBEsol geometry

Cell lengths 4.1551, 4.1551, 3.9617 Å; angles 90.00, 90.00, 90.00 degrees
Last column: nearest neighbours and their distance in Å.
Space group P4/mmm (No. 123)
Inequivalent atoms, fractional coordinates:
Li 0.0000 0.5000 0.0000 x2  4 Se 2.87, 4 Mg 2.87, 4 Li 2.94
Mg 0.0000 0.0000 0.5000 x1  8 Li 2.87, 4 Se 2.94
Se 0.5000 0.5000 0.5000 x1  8 Li 2.87, 4 Mg 2.94

Of them, the most stable is entry 2 and the least stable is entry 1.